The following is a DFT calculation (PBE-GGA) of crystalline LiYSn3 at its relaxed geometry.

Computed properties:
As for the energy relative to the elements: -0.090 eV/atom. The electronic total energy is -4.168 eV/atom. For the density of states at the Fermi level, the calculation gives 3.22 states/eV per cell. The space-group type is Pm-3m, No. 221. The calculation puts the distance to the lowest polymorph of the same formula at 325 meV/atom.

a = 5.0159 Å, b = 5.0159 Å, c = 5.0159 Å
α = 90.00°, β = 90.00°, γ = 90.00°
With the nearest neighbours (Å) after each atom.
Fractional coordinates of all 5 atoms:
Li 0.0000 0.0000 0.0000  6 Sn 2.51
Y 0.5000 0.5000 0.5000  12 Sn 3.55
Sn 0.0000 0.0000 0.5000  2 Li 2.51
Sn 0.0000 0.5000 0.0000  2 Li 2.51
Sn 0.5000 0.0000 0.0000  2 Li 2.51



The following is a DFT calculation (PBE-GGA) of crystalline LaTcOs2 at its relaxed geometry.

Computed properties:
As for the energy relative to the elements: 0.702 eV/atom. The electronic total energy is -8.736 eV/atom. For the density of states at the Fermi level, the calculation gives 9.34 states/eV per cell. The space-group type is I-42d, No. 122. The calculation puts the distance to the lowest polymorph of the same formula at 410 meV/atom.

a = 6.0337 Å, b = 6.0337 Å, c = 6.0337 Å
α = 103.18°, β = 103.18°, γ = 122.96°
With the nearest neighbours (Å) after each atom.
Fractional coordinates of all 8 atoms:
La 0.0000 0.0000 0.0000  2 Tc 2.88, 8 Os 3.05-3.21
La 0.7500 0.2500 0.5000  2 Tc 2.88, 8 Os 3.05-3.21
Tc 0.2500 0.7500 0.5000  4 Os 2.48
Tc 0.5000 0.5000 0.0000  4 Os 2.48
Os 0.1819 0.1250 0.5569  2 Tc 2.48
Os 0.3750 0.8181 0.9431  2 Tc 2.48
Os 0.5681 0.6250 0.4431  2 Tc 2.48
Os 0.8750 0.4319 0.0569  2 Tc 2.48



The following is a DFT calculation (PBE-GGA) of crystalline ScAl2Ag3 at its relaxed geometry.

Computed properties:
As for the energy relative to the elements: -0.211 eV/atom. The electronic total energy is -3.939 eV/atom. For the density of states at the Fermi level, the calculation gives 6.18 states/eV per cell. The space-group type is P6_3/mmc, No. 194.

a = 4.5635 Å, b = 4.5635 Å, c = 11.9377 Å
α = 90.00°, β = 90.00°, γ = 120.00°
With the nearest neighbours (Å) after each atom.
Fractional coordinates of all 12 atoms:
Sc 0.0000 0.0000 0.2500  8 Ag 2.98-3.05, 6 Al 3.05
Sc 0.0000 0.0000 0.7500  8 Ag 2.98-3.05, 6 Al 3.05
Al 0.3333 0.6667 0.1214  4 Ag 2.63-2.89
Al 0.3333 0.6667 0.3786  4 Ag 2.63-2.89
Al 0.6667 0.3333 0.6214  4 Ag 2.63-2.89
Al 0.6667 0.3333 0.8786  4 Ag 2.63-2.89
Ag 0.0000 0.0000 0.0000  2 Sc 2.98, 6 Ag 3.00, 6 Al 3.01
Ag 0.0000 0.0000 0.5000  2 Sc 2.98, 6 Ag 3.00, 6 Al 3.01
Ag 0.3333 0.6667 0.6207  4 Al 2.63-2.89
Ag 0.3333 0.6667 0.8793  4 Al 2.63-2.89
Ag 0.6667 0.3333 0.1207  4 Al 2.63-2.89
Ag 0.6667 0.3333 0.3793  4 Al 2.63-2.89



The following is a DFT calculation (PBE-GGA) of crystalline LiSbPb2 at its relaxed geometry.

Computed properties:
The electronic total energy is -3.498 eV/atom. For the density of states at the Fermi level, the calculation gives 1.82 states/eV per cell. The space-group type is P4/mmm, No. 123.

a = 4.8996 Å, b = 4.8996 Å, c = 4.6264 Å
α = 90.00°, β = 90.00°, γ = 90.00°
With the nearest neighbours (Å) after each atom.
Fractional coordinates of all 4 atoms:
Li 0.0000 0.0000 0.0000  8 Pb 3.37, 4 Sb 3.46
Sb 0.5000 0.5000 0.0000  8 Pb 3.37, 4 Li 3.46
Pb 0.0000 0.5000 0.5000  4 Li 3.37, 4 Sb 3.37, 4 Pb 3.46
Pb 0.5000 0.0000 0.5000  4 Li 3.37, 4 Sb 3.37, 4 Pb 3.46



The following is a DFT calculation (PBE-GGA) of crystalline K2RbScZn at its relaxed geometry.

Computed properties:
As for the energy relative to the elements: 0.899 eV/atom. The electronic total energy is -1.255 eV/atom. For the density of states at the Fermi level, the calculation gives 10.70 states/eV per cell. The space-group type is P4/mmm, No. 123.

a = 7.2942 Å, b = 7.2942 Å, c = 7.3319 Å
α = 90.00°, β = 90.00°, γ = 90.00°
With the nearest neighbours (Å) after each atom.
Fractional coordinates of all 5 atoms:
K 0.0000 0.5000 0.0000  2 Sc 3.65
K 0.5000 0.0000 0.0000  2 Sc 3.65
Rb 0.0000 0.0000 0.5000  2 Sc 3.67
Sc 0.0000 0.0000 0.0000  4 K 3.65, 2 Rb 3.67
Zn 0.5000 0.5000 0.5000  4 Rb 5.16, 8 K 5.17



The following is a DFT calculation (PBE-GGA) of crystalline LiPr2ErHg4 at its relaxed geometry.

Computed properties:
As for the energy relative to the elements: -0.453 eV/atom. The electronic total energy is -2.608 eV/atom. For the density of states at the Fermi level, the calculation gives 7.13 states/eV per cell. The space-group type is R-3m, No. 166.

a = 9.2093 Å, b = 9.2093 Å, c = 9.2093 Å
α = 33.21°, β = 33.21°, γ = 33.21°
With the nearest neighbours (Å) after each atom.
Fractional coordinates of all 8 atoms:
Li 0.0000 0.0000 0.0000  8 Hg 3.23-3.31
Pr 0.2541 0.2541 0.2541  8 Hg 3.16-3.32
Pr 0.7459 0.7459 0.7459  8 Hg 3.16-3.32
Er 0.5000 0.5000 0.5000  8 Hg 3.21-3.25
Hg 0.1268 0.1268 0.1268  3 Er 3.21, 4 Pr 3.28-3.32, 1 Li 3.31
Hg 0.3752 0.3752 0.3752  4 Pr 3.16-3.19, 3 Li 3.23, 1 Er 3.25
Hg 0.6248 0.6248 0.6248  4 Pr 3.16-3.19, 3 Li 3.23, 1 Er 3.25
Hg 0.8732 0.8732 0.8732  3 Er 3.21, 4 Pr 3.28-3.32, 1 Li 3.31